No. 1
ZnSeO4: relaxed, PBEsol.

Summary:
The total magnetic moment is 0.0 μB per formula unit. Its uncorrected formation energy is -5.0 eV/f.u.

Lattice parameters (Å, degrees): 5.5744 6.7747 7.2367 90.00 90.00 90.00
Last column: nearest neighbours and their distance in Å.
Space group Imma (No. 74)
Asymmetric unit:
1 Zn 0.0000 0.0000 0.0000 [4 per cell]  6 O 2.04-2.17
2 Se 0.0000 0.2500 0.4000 [4 per cell]  4 O 1.66-1.70
3 O 0.0000 0.0423 0.2795 [8 per cell]  1 Se 1.66
4 O 0.2425 0.2500 0.9753 [8 per cell]  1 Se 1.70

---

No. 2
ZrMoP2: relaxed, PBEsol.

Summary:
The formation energy comes out at -756.1 meV per atom. The total magnetic moment is 0.0 μB per formula unit.

Lattice parameters (Å, degrees): 3.3375 3.3375 5.5440 90.00 90.00 90.00
Last column: nearest neighbours and their distance in Å.
Space group P4mm (No. 99)
Asymmetric unit:
1 Zr 0.0000 0.0000 0.0000 [1 per cell]  6 P 2.57-2.81
2 Mo 0.5000 0.5000 0.3510 [1 per cell]  5 P 2.51-2.57
3 P 0.0000 0.0000 0.5076 [1 per cell]  4 Mo 2.51, 2 Zr 2.73-2.81
4 P 0.5000 0.5000 0.8147 [1 per cell]  1 Mo 2.57, 4 Zr 2.57

---

No. 3
ScBeRu2: relaxed, PBEsol.

Summary:
The formation energy comes out at -106.2 meV per atom. The total magnetic moment is 0.0 μB per formula unit.

Lattice parameters (Å, degrees): 2.8398 4.1914 4.7682 90.00 104.17 90.00
Last column: nearest neighbours and their distance in Å.
Space group Pm (No. 6)
Asymmetric unit:
1 Sc 0.0000 0.0000 0.0000 [1 per cell]  2 Ru 2.46-2.51, 4 Be 2.72-2.73
2 Be 0.5861 0.5000 0.2196 [1 per cell]  5 Ru 2.42-2.60
3 Ru 0.2491 0.5000 0.6607 [1 per cell]  3 Be 2.46-2.60, 2 Ru 2.59
4 Ru 0.6183 0.0000 0.4782 [1 per cell]  2 Be 2.42, 2 Sc 2.46-2.51, 2 Ru 2.59

---

No. 4
KTiTePt2: relaxed, PBEsol.

Summary:
The total magnetic moment is 2.9 μB per formula unit. Its uncorrected formation energy is 5.0 eV/f.u.

Lattice parameters (Å, degrees): 4.9618 4.9618 5.6963 90.00 90.00 90.00
Last column: nearest neighbours and their distance in Å.
Space group P4/mmm (No. 123)
Asymmetric unit:
1 K 0.0000 0.0000 0.0000 [1 per cell]  2 Te 2.85
2 Ti 0.5000 0.5000 0.0000 [1 per cell]  4 K 3.51, 8 Pt 3.78
3 Te 0.0000 0.0000 0.5000 [1 per cell]  4 Pt 2.48
4 Pt 0.0000 0.5000 0.5000 [2 per cell]  2 Te 2.48

---

No. 5
CoMo4Cl: relaxed, PBEsol.

Summary:
The total magnetic moment is 1.0 μB per formula unit. Its uncorrected formation energy is 6.2 eV/f.u.

Lattice parameters (Å, degrees): 7.2574 7.2574 7.2574 90.00 90.00 90.00
Last column: nearest neighbours and their distance in Å.
Space group F-43m (No. 216)
Asymmetric unit:
1 Co 0.0000 0.0000 0.0000 [4 per cell]  12 Mo 3.01, 4 Cl 3.14
2 Mo 0.1248 0.1248 0.6248 [16 per cell]  6 Mo 2.56-2.57
3 Cl 0.2500 0.2500 0.2500 [4 per cell]  12 Mo 3.01, 4 Co 3.14

---

No. 6
Sr2MnAs: relaxed, PBEsol.

Summary:
The formation energy comes out at -79.1 meV per atom. The total magnetic moment is 4.4 μB per formula unit.

Lattice parameters (Å, degrees): 5.0975 5.0975 4.1508 90.00 90.00 90.00
Last column: nearest neighbours and their distance in Å.
Space group P4/mmm (No. 123)
Asymmetric unit:
1 Sr 0.0000 0.5000 0.0000 [2 per cell]  4 As 3.29, 4 Mn 3.29, 4 Sr 3.60
2 Mn 0.0000 0.0000 0.5000 [1 per cell]  8 Sr 3.29, 4 As 3.60
3 As 0.5000 0.5000 0.5000 [1 per cell]  8 Sr 3.29, 4 Mn 3.60

---

No. 7
Li6Ti2O7: relaxed, PBEsol.

Summary:
The total magnetic moment is 0.0 μB per formula unit. Its uncorrected formation energy is -36.7 eV/f.u.

Lattice parameters (Å, degrees): 9.9435 9.9435 2.9193 90.00 90.00 90.00
Last column: nearest neighbours and their distance in Å.
Space group P4_2/mnm (No. 136)
Asymmetric unit:
1 Li 0.0865 0.0865 0.0000 [4 per cell]  5 O 1.87-2.07
2 Li 0.1096 0.3016 0.5000 [8 per cell]  3 O 2.00-2.07
3 Ti 0.1509 0.8491 0.5000 [4 per cell]  5 O 1.82-1.99
4 O 0.0000 0.0000 0.5000 [2 per cell]  4 Li 1.90, 2 Ti 2.12
5 O 0.0511 0.7569 0.0000 [8 per cell]  2 Ti 1.99, 2 Li 2.07
6 O 0.2195 0.2195 0.0000 [4 per cell]  1 Ti 1.82, 5 Li 1.87-2.00

---

No. 8
Mn2ZnSb: relaxed, PBEsol.

Summary:
The total magnetic moment is 5.6 μB per formula unit. Its uncorrected formation energy is 1.1 eV/f.u.

Lattice parameters (Å, degrees): 3.2884 3.2884 5.5547 90.00 90.00 90.00
Last column: nearest neighbours and their distance in Å.
Space group P4/mmm (No. 123)
Asymmetric unit:
1 Mn 0.0000 0.0000 0.2439 [2 per cell]  4 Zn 2.69, 2 Mn 2.71-2.84, 4 Sb 2.73
2 Zn 0.5000 0.5000 0.0000 [1 per cell]  8 Mn 2.69, 2 Sb 2.78
3 Sb 0.5000 0.5000 0.5000 [1 per cell]  8 Mn 2.73, 2 Zn 2.78

---

No. 9
Li2SnS2: relaxed, PBEsol.

Summary:
The total magnetic moment is 0.0 μB per formula unit. Its uncorrected formation energy is -3.9 eV/f.u.

Lattice parameters (Å, degrees): 7.1846 7.1846 3.4000 90.00 90.00 90.00
Last column: nearest neighbours and their distance in Å.
Space group P4/mbm (No. 127)
Asymmetric unit:
1 Li 0.1345 0.3655 0.0000 [4 per cell]  6 S 2.58-2.81, 1 Li 2.73
2 Sn 0.0000 0.0000 0.5000 [2 per cell]  4 S 2.66
3 S 0.1740 0.6740 0.5000 [4 per cell]  6 Li 2.58-2.81, 2 Sn 2.66

---

No. 10
Ba2YZr: relaxed, PBEsol.

Summary:
The formation energy comes out at 498.4 meV per atom. The total magnetic moment is 0.0 μB per formula unit.

Lattice parameters (Å, degrees): 12.2124 3.6045 6.2669 90.00 100.39 90.00
Last column: nearest neighbours and their distance in Å.
Space group C2/m (No. 12)
Asymmetric unit:
1 Ba 0.2404 0.0000 0.2420 [4 per cell]  3 Zr 3.54-3.75, 6 Ba 3.57-3.67, 3 Y 3.60-3.75
2 Y 0.0000 0.0000 0.5000 [2 per cell]  6 Ba 3.60-3.75, 2 Y 3.60, 4 Zr 3.61
3 Zr 0.0000 0.5000 0.0000 [2 per cell]  6 Ba 3.54-3.75, 2 Zr 3.60, 4 Y 3.61

---

No. 11
Y2NiAg: relaxed, PBEsol.

Summary:
The formation energy comes out at -348.5 meV per atom. The total magnetic moment is 0.0 μB per formula unit.

Lattice parameters (Å, degrees): 3.4082 3.4082 7.1094 90.00 90.00 90.00
Last column: nearest neighbours and their distance in Å.
Space group P4/mmm (No. 123)
Asymmetric unit:
1 Y 0.0000 0.0000 0.2277 [2 per cell]  4 Ni 2.90, 4 Ag 3.09, 1 Y 3.24
2 Ni 0.5000 0.5000 0.0000 [1 per cell]  8 Y 2.90
3 Ag 0.5000 0.5000 0.5000 [1 per cell]  8 Y 3.09, 4 Ag 3.41

---

No. 12
Sc3HIr: relaxed, PBEsol.

Summary:
The total magnetic moment is 0.0 μB per formula unit. Its total energy is -7.037 eV per atom.

Lattice parameters (Å, degrees): 4.2418 4.2418 4.2418 90.00 90.00 90.00
Last column: nearest neighbours and their distance in Å.
Space group Pm-3m (No. 221)
Asymmetric unit:
1 Sc 0.0000 0.0000 0.5000 [3 per cell]  2 H 2.12
2 H 0.0000 0.0000 0.0000 [1 per cell]  6 Sc 2.12
3 Ir 0.5000 0.5000 0.5000 [1 per cell]  12 Sc 3.00

---

No. 13
TaMo3: relaxed, PBEsol.

Summary:
The formation energy comes out at -112.6 meV per atom. The total magnetic moment is 0.0 μB per formula unit.

Lattice parameters (Å, degrees): 4.4717 4.4717 12.6263 90.00 90.00 90.00
Last column: nearest neighbours and their distance in Å.
Space group I4/mmm (No. 139)
Asymmetric unit:
1 Ta 0.0000 0.0000 0.1244 [4 per cell]  8 Mo 2.73-2.74
2 Mo 0.0000 0.0000 0.3742 [4 per cell]  8 Mo 2.73-2.74
3 Mo 0.0000 0.5000 0.0000 [4 per cell]  4 Ta 2.73, 4 Mo 2.74
4 Mo 0.0000 0.5000 0.2500 [4 per cell]  4 Mo 2.73, 4 Ta 2.74

---

No. 14
Y2CuOs: relaxed, PBEsol.

Summary:
The formation energy comes out at -184.5 meV per atom. The total magnetic moment is 0.0 μB per formula unit.

Lattice parameters (Å, degrees): 4.7681 4.7681 3.4160 90.00 90.00 90.00
Last column: nearest neighbours and their distance in Å.
Space group P4/mmm (No. 123)
Asymmetric unit:
1 Y 0.0000 0.5000 0.0000 [2 per cell]  4 Os 2.93, 4 Cu 2.93
2 Cu 0.0000 0.0000 0.5000 [1 per cell]  8 Y 2.93
3 Os 0.5000 0.5000 0.5000 [1 per cell]  8 Y 2.93

---

No. 15
Li2PbCl: relaxed, PBEsol.

Summary:
The total magnetic moment is 0.0 μB per formula unit. Its uncorrected formation energy is -2.5 eV/f.u.

Lattice parameters (Å, degrees): 6.0317 8.1536 3.3606 90.00 90.20 90.00
Last column: nearest neighbours and their distance in Å.
Space group C2/m (No. 12)
Asymmetric unit:
1 Li 0.2500 0.2500 0.0000 [4 per cell]  4 Li 3.02-3.36, 4 Cl 3.04, 4 Pb 3.04
2 Pb 0.0000 0.0000 0.5000 [2 per cell]  2 Cl 3.02, 8 Li 3.04, 2 Pb 3.36
3 Cl 0.0000 0.5000 0.5000 [2 per cell]  2 Pb 3.02, 8 Li 3.04, 2 Cl 3.36

---

No. 16
NaSiPO2: relaxed, PBEsol.

Summary:
The total magnetic moment is 0.0 μB per formula unit. Its uncorrected formation energy is -4.2 eV/f.u.

Lattice parameters (Å, degrees): 3.5256 3.5256 4.9984 90.00 90.00 90.00
Last column: nearest neighbours and their distance in Å.
Space group P4/mmm (No. 123)
Asymmetric unit:
1 Na 0.0000 0.0000 0.0000 [1 per cell]  4 P 2.49
2 Si 0.5000 0.5000 0.5000 [1 per cell]  4 O 1.76
3 P 0.5000 0.5000 0.0000 [1 per cell]  4 Na 2.49, 2 Si 2.50
4 O 0.0000 0.5000 0.5000 [2 per cell]  2 Si 1.76

---

No. 17
NiOsCl2: relaxed, PBEsol.

Summary:
The total magnetic moment is 1.1 μB per formula unit. Its uncorrected formation energy is 4.1 eV/f.u.

Lattice parameters (Å, degrees): 4.2800 4.2800 2.9848 90.00 90.00 90.00
Last column: nearest neighbours and their distance in Å.
Space group P4/mmm (No. 123)
Asymmetric unit:
1 Ni 0.0000 0.0000 0.0000 [1 per cell]  8 Cl 2.61
2 Os 0.5000 0.5000 0.0000 [1 per cell]  8 Cl 2.61
3 Cl 0.0000 0.5000 0.5000 [2 per cell]  4 Os 2.61, 4 Ni 2.61

---

No. 18
NiAgAu2: relaxed, PBEsol.

Summary:
The formation energy comes out at 97.1 meV per atom. The total magnetic moment is 0.0 μB per formula unit.

Lattice parameters (Å, degrees): 2.8241 4.6359 9.3420 90.00 90.00 90.00
Last column: nearest neighbours and their distance in Å.
Space group Imm2 (No. 44)
Asymmetric unit:
1 Ni 0.0000 0.0000 0.0000 [2 per cell]  6 Au 2.57-2.71, 2 Ag 2.62, 2 Ni 2.82
2 Ag 0.0000 0.5000 0.7359 [2 per cell]  2 Ni 2.62, 6 Au 2.73-2.87, 2 Ag 2.82
3 Au 0.0000 0.0000 0.5034 [2 per cell]  4 Ni 2.71, 4 Au 2.82-2.86, 2 Ag 2.87
4 Au 0.0000 0.5000 0.2701 [2 per cell]  2 Ni 2.57, 4 Ag 2.73, 4 Au 2.82-2.86

---

No. 19
Ta3PbF: relaxed, PBEsol.

Summary:
The total magnetic moment is 0.1 μB per formula unit. Its uncorrected formation energy is 13.2 eV/f.u.

Lattice parameters (Å, degrees): 5.1385 5.1385 5.1385 90.00 90.00 90.00
Last column: nearest neighbours and their distance in Å.
Space group Pm-3m (No. 221)
Asymmetric unit:
1 Ta 0.0000 0.0000 0.5000 [3 per cell]  2 Pb 2.57
2 Pb 0.0000 0.0000 0.0000 [1 per cell]  6 Ta 2.57
3 F 0.5000 0.5000 0.5000 [1 per cell]  12 Ta 3.63

---

No. 20
CrCuNi2: relaxed, PBEsol.

Summary:
The formation energy comes out at 104.6 meV per atom. The total magnetic moment is 0.0 μB per formula unit.

Lattice parameters (Å, degrees): 8.1095 2.4297 4.3975 90.00 98.56 90.00
Last column: nearest neighbours and their distance in Å.
Space group C2/m (No. 12)
Asymmetric unit:
1 Cr 0.0000 0.0000 0.0000 [2 per cell]  2 Cr 2.43, 6 Ni 2.43-2.47, 4 Cu 2.51
2 Cu 0.0000 0.5000 0.5000 [2 per cell]  2 Cu 2.43, 6 Ni 2.46-2.49, 4 Cr 2.51
3 Ni 0.2501 0.0000 0.7562 [4 per cell]  6 Ni 2.43-2.56, 3 Cr 2.43-2.47, 3 Cu 2.46-2.49